Below is crystalline Zr4Si4Au at its relaxed geometry, with properties calculated at the PBE-GGA level.

Total moment, μB per atom: 0.00
Total energy, eV/atom: -7.418
Crystal system: monoclinic
Calculated volume, A^3/atom: 17.74

Geometry as POSCAR:
```
Zr4Si4Au
1.0
4.9629 -1.9305 0.0000
4.9629 1.9305 0.0000
-3.0983 0.0000 8.3336
Si Zr Au
4 4 1
Direct
0.3842 0.3842 0.3887 Si
0.4593 0.4593 0.1608 Si
0.5407 0.5407 0.8392 Si
0.6158 0.6158 0.6113 Si
0.1073 0.1073 0.3835 Zr
0.2456 0.2456 0.8386 Zr
0.7544 0.7544 0.1614 Zr
0.8927 0.8927 0.6165 Zr
0.0000 0.0000 0.0000 Au
```